A relaxed structure of NdSiGe, computed with PBE-GGA.

Geometry as CIF:
```
data_NdSiGe
_space_group_name_H-M_alt 'P 1'
_space_group_IT_number 1
_cell_length_a 4.158
_cell_length_b 4.063
_cell_length_c 7.868
_cell_angle_alpha 90.01
_cell_angle_beta 90.00
_cell_angle_gamma 90.00
loop_
_space_group_symop_operation_xyz
'x,y,z'
loop_
_atom_site_label
_atom_site_type_symbol
_atom_site_fract_x
_atom_site_fract_y
_atom_site_fract_z
_atom_site_occupancy
Si1 Si 0.812 0.216 0.975 1
Si2 Si 0.812 0.716 0.818 1
Nd1 Nd 0.312 0.216 0.662 1
Nd2 Nd 0.312 0.716 0.131 1
Ge1 Ge 0.812 0.716 0.496 1
Ge2 Ge 0.812 0.216 0.297 1
```

Properties
Formation energy from raw total energies in eV per atom: -0.58
Energy relative to the lowest polymorph listed for this composition in meV per atom: 19
Crystal system: orthorhombic
Mass density in kg/m3: 6120